A plane-wave DFT calculation with PBE was carried out for LaIn2Pd6 after structural relaxation.

Cell lengths 5.593, 5.593, 7.155 Å; angles 90.00, 90.00, 120.00 degrees
Atoms (fractional coordinates):
1 La 0.000 0.000 0.000
2 In 0.333 0.667 0.500
3 In 0.667 0.333 0.500
4 Pd 0.000 0.500 0.192
5 Pd 0.000 0.500 0.808
6 Pd 0.500 0.000 0.192
7 Pd 0.500 0.000 0.808
8 Pd 0.500 0.500 0.192
9 Pd 0.500 0.500 0.808

**Formation energy from the elements**: -0.504 eV/atom